# 1
Rb4Ce3ScO8 | the Alexandria database | GGA-PBE | relaxed; E = -6.766 eV per atom; uncorrected formation energy = -2536 meV per atom; mass density = 5341 kg/m3
1.0
3.576 2.064 6.566
-3.576 2.064 6.566
0.000 -4.129 6.566
Rb Ce Sc O
4 3 1 8
direct
0.000 0.000 0.000
0.000 0.500 0.500
0.500 0.000 0.500
0.500 0.500 0.000
0.000 0.000 0.500
0.000 0.500 0.000
0.500 0.000 0.000
0.500 0.500 0.500
0.227 0.227 0.227
0.243 0.714 0.714
0.286 0.286 0.757
0.286 0.757 0.286
0.714 0.243 0.714
0.714 0.714 0.243
0.757 0.286 0.286
0.773 0.773 0.773

# 2
Rb2CeScO4 | the Alexandria database | GGA-PBE | relaxed; E = -6.809 eV per atom; uncorrected formation energy = -2555 meV per atom; mass density = 5087 kg/m3
1.0
6.016 0.000 0.000
0.000 3.491 0.000
-1.972 0.000 6.528
Rb Ce Sc O
2 1 1 4
direct
0.000 0.000 0.000
0.500 0.500 0.000
0.000 0.500 0.500
0.500 0.000 0.500
0.247 0.000 0.673
0.292 0.500 0.330
0.708 0.500 0.670
0.753 0.000 0.327

# 3
RbCeSe2O8 | the Alexandria database | GGA-PBE | relaxed; E = -5.964 eV per atom; uncorrected formation energy = -1503 meV per atom; mass density = 3424 kg/m3
1.0
5.775 0.000 0.000
-2.887 5.001 0.000
0.000 0.000 8.589
Rb Ce Se O
1 1 2 8
direct
0.000 0.000 0.000
0.000 0.000 0.500
0.333 0.667 0.743
0.667 0.333 0.257
0.124 0.357 0.673
0.233 0.876 0.673
0.333 0.667 0.934
0.357 0.233 0.327
0.643 0.767 0.673
0.667 0.333 0.066
0.767 0.124 0.327
0.876 0.643 0.327

# 4
RbCeSeO6 | the Alexandria database | GGA-PBE | relaxed; E = -5.977 eV per atom; uncorrected formation energy = -1517 meV per atom; mass density = 3985 kg/m3
1.0
5.599 0.000 0.000
-2.800 4.849 0.000
0.000 0.000 6.147
Rb Ce Se O
1 1 1 6
direct
0.000 0.000 0.000
0.333 0.667 0.500
0.667 0.333 0.500
0.410 0.059 0.670
0.410 0.351 0.330
0.649 0.059 0.330
0.649 0.590 0.670
0.941 0.351 0.670
0.941 0.590 0.330

# 5
Rb3CeSi2O8 | the Alexandria database | GGA-PBE | relaxed; E = -6.714 eV per atom; uncorrected formation energy = -2475 meV per atom; mass density = 3906 kg/m3
1.0
5.907 0.000 0.000
-2.953 5.115 0.000
0.000 0.000 8.170
Rb Ce Si O
3 1 2 8
direct
0.000 0.000 0.000
0.333 0.667 0.739
0.667 0.333 0.261
0.000 0.000 0.500
0.333 0.667 0.274
0.667 0.333 0.726
0.180 0.361 0.340
0.180 0.820 0.340
0.333 0.667 0.074
0.361 0.180 0.660
0.639 0.820 0.340
0.667 0.333 0.926
0.820 0.180 0.660
0.820 0.639 0.660

# 6
Rb2CeSiO6 | the Alexandria database | GGA-PBE | relaxed; E = -6.340 eV per atom; uncorrected formation energy = -2036 meV per atom; mass density = 3565 kg/m3
1.0
6.464 0.000 0.000
-3.232 5.598 0.000
0.000 0.000 5.601
Rb Ce Si O
2 1 1 6
direct
0.333 0.667 0.113
0.667 0.333 0.887
0.000 0.000 0.500
0.000 0.000 0.000
0.128 0.256 0.806
0.128 0.872 0.806
0.256 0.128 0.194
0.744 0.872 0.806
0.872 0.128 0.194
0.872 0.744 0.194

# 7
RbCeSi2O6 | the Alexandria database | GGA-PBE | relaxed; E = -7.552 eV per atom; uncorrected formation energy = -2802 meV per atom; mass density = 4222 kg/m3
1.0
5.310 -5.207 0.000
5.310 5.207 0.000
-0.935 0.000 5.373
Rb Ce Si O
2 2 4 12
direct
0.170 0.830 0.750
0.830 0.170 0.250
0.377 0.623 0.250
0.623 0.377 0.750
0.142 0.303 0.790
0.303 0.142 0.290
0.697 0.858 0.710
0.858 0.697 0.210
0.067 0.632 0.256
0.164 0.181 0.032
0.181 0.164 0.532
0.304 0.454 0.844
0.368 0.933 0.244
0.454 0.304 0.344
0.546 0.696 0.656
0.632 0.067 0.756
0.696 0.546 0.156
0.819 0.836 0.468
0.836 0.819 0.968
0.933 0.368 0.744

# 8
Rb2CeSmO4 | the Alexandria database | GGA-PBE | relaxed; E = -6.624 eV per atom; uncorrected formation energy = -2571 meV per atom; mass density = 5755 kg/m3
1.0
6.310 0.000 0.000
0.000 3.644 0.000
-2.105 0.000 6.593
Rb Ce Sm O
2 1 1 4
direct
0.000 0.000 0.000
0.500 0.500 0.000
0.000 0.500 0.500
0.500 0.000 0.500
0.227 0.000 0.678
0.275 0.500 0.322
0.725 0.500 0.678
0.773 0.000 0.322

# 9
Rb3CeSm2O6 | the Alexandria database | GGA-PBE | relaxed; E = -6.585 eV per atom; uncorrected formation energy = -2583 meV per atom; mass density = 5825 kg/m3
1.0
3.147 -5.450 0.000
3.147 5.450 0.000
-2.098 0.000 6.593
Rb Ce Sm O
3 1 2 6
direct
0.000 0.000 0.000
0.333 0.667 0.000
0.667 0.333 0.000
0.500 0.500 0.500
0.167 0.833 0.500
0.833 0.167 0.500
0.106 0.441 0.322
0.225 0.225 0.678
0.441 0.106 0.322
0.559 0.894 0.678
0.775 0.775 0.322
0.894 0.559 0.678

# 10
RbCe2Sm2O7 | the Alexandria database | GGA-PBE | relaxed; E = -7.781 eV per atom; uncorrected formation energy = -3032 meV per atom; mass density = 5962 kg/m3
1.0
-2.341 9.884 2.342
2.341 -9.884 2.342
2.341 9.884 -2.342
Rb Ce Sm O
1 2 2 7
direct
0.000 0.000 0.000
0.390 0.999 0.390
0.609 0.999 0.610
0.249 0.499 0.750
0.750 0.499 0.250
0.131 0.499 0.632
0.266 0.999 0.267
0.367 0.499 0.868
0.499 0.999 0.500
0.631 0.499 0.132
0.733 0.999 0.733
0.868 0.499 0.368

# 11
Rb2CeSn2O6 | the Alexandria database | GGA-PBE | relaxed; E = -6.110 eV per atom; uncorrected formation energy = -1962 meV per atom; mass density = 4809 kg/m3
1.0
5.420 -3.207 0.000
5.420 3.207 0.000
-3.921 0.000 6.401
Rb Ce Sn O
2 1 2 6
direct
0.206 0.206 0.178
0.794 0.794 0.822
0.000 0.000 0.500
0.450 0.450 0.784
0.550 0.550 0.216
0.210 0.715 0.260
0.237 0.237 0.605
0.285 0.790 0.740
0.715 0.210 0.260
0.763 0.763 0.395
0.790 0.285 0.740

# 12
Rb3CeSn2O9 | the Alexandria database | GGA-PBE | relaxed; E = -5.733 eV per atom; uncorrected formation energy = -1635 meV per atom; mass density = 5398 kg/m3
1.0
6.088 0.000 0.000
-3.044 5.272 0.000
0.000 0.000 7.456
Rb Ce Sn O
3 1 2 9
direct
0.000 0.000 0.000
0.333 0.667 0.667
0.667 0.333 0.333
0.000 0.000 0.500
0.333 0.667 0.159
0.667 0.333 0.841
0.000 0.500 0.000
0.173 0.345 0.323
0.173 0.827 0.323
0.345 0.173 0.677
0.500 0.000 0.000
0.500 0.500 0.000
0.655 0.827 0.323
0.827 0.173 0.677
0.827 0.655 0.677

# 13
Rb2CeSnO6 | the Alexandria database | GGA-PBE | relaxed; E = -5.999 eV per atom; uncorrected formation energy = -1837 meV per atom; mass density = 5300 kg/m3
1.0
0.000 4.351 4.351
4.351 0.000 4.351
4.351 4.351 0.000
Rb Ce Sn O
2 1 1 6
direct
0.250 0.250 0.250
0.750 0.750 0.750
0.000 0.000 0.000
0.500 0.500 0.500
0.258 0.258 0.742
0.258 0.742 0.258
0.258 0.742 0.742
0.742 0.258 0.258
0.742 0.258 0.742
0.742 0.742 0.258

# 14
Rb3Sr2CeO6 | the Alexandria database | GGA-PBE | relaxed; E = -5.723 eV per atom; uncorrected formation energy = -2227 meV per atom; mass density = 4712 kg/m3
1.0
3.223 -5.574 0.000
3.223 5.574 0.000
-2.156 0.000 6.549
Rb Sr Ce O
3 2 1 6
direct
0.000 0.000 0.000
0.332 0.668 0.000
0.668 0.332 0.000
0.166 0.834 0.500
0.834 0.166 0.500
0.500 0.500 0.500
0.138 0.438 0.315
0.263 0.263 0.687
0.438 0.138 0.315
0.562 0.862 0.685
0.737 0.737 0.313
0.862 0.562 0.685

# 15
Rb4CeTa3O12 | the Alexandria database | GGA-PBE | relaxed; E = -7.752 eV per atom; uncorrected formation energy = -2509 meV per atom; mass density = 6888 kg/m3
1.0
-4.186 4.186 4.186
4.186 -4.186 4.186
4.186 4.186 -4.186
Rb Ce Ta O
4 1 3 12
direct
0.000 0.000 0.500
0.000 0.500 0.000
0.500 0.000 0.000
0.500 0.500 0.500
0.000 0.000 0.000
0.000 0.500 0.500
0.500 0.000 0.500
0.500 0.500 0.000
0.000 0.267 0.267
0.000 0.733 0.733
0.250 0.500 0.750
0.250 0.750 0.500
0.267 0.000 0.267
0.267 0.267 0.000
0.500 0.250 0.750
0.500 0.750 0.250
0.733 0.000 0.733
0.733 0.733 0.000
0.750 0.250 0.500
0.750 0.500 0.250

# 16
Rb3CeTa2O9 | the Alexandria database | GGA-PBE | relaxed; E = -7.663 eV per atom; uncorrected formation energy = -2519 meV per atom; mass density = 6627 kg/m3
1.0
5.963 0.000 0.000
-2.982 5.164 0.000
0.000 0.000 7.342
Rb Ce Ta O
3 1 2 9
direct
0.000 0.000 0.000
0.333 0.667 0.666
0.667 0.333 0.334
0.000 0.000 0.500
0.333 0.667 0.160
0.667 0.333 0.840
0.000 0.500 0.000
0.177 0.354 0.315
0.177 0.823 0.315
0.354 0.177 0.685
0.500 0.000 0.000
0.500 0.500 0.000
0.646 0.823 0.315
0.823 0.177 0.685
0.823 0.646 0.685

# 17
Rb2CeTa3O12 | the Alexandria database | GGA-PBE | relaxed; E = -8.136 eV per atom; uncorrected formation energy = -2418 meV per atom; mass density = 5498 kg/m3
1.0
3.821 2.206 6.245
-3.821 2.206 6.245
0.000 -4.413 6.245
Rb Ce Ta O
2 1 3 12
direct
0.123 0.123 0.123
0.877 0.877 0.877
0.500 0.500 0.500
0.000 0.500 0.500
0.500 0.000 0.500
0.500 0.500 0.000
0.148 0.583 0.583
0.200 0.200 0.569
0.200 0.569 0.200
0.417 0.417 0.852
0.417 0.852 0.417
0.431 0.800 0.800
0.569 0.200 0.200
0.583 0.148 0.583
0.583 0.583 0.148
0.800 0.431 0.800
0.800 0.800 0.431
0.852 0.417 0.417

# 18
Rb2CeTaO6 | the Alexandria database | GGA-PBE | relaxed; E = -7.385 eV per atom; uncorrected formation energy = -2438 meV per atom; mass density = 5489 kg/m3
1.0
3.152 1.820 10.336
-3.152 1.820 10.336
0.000 -3.640 10.336
Rb Ce Ta O
4 2 2 12
direct
0.133 0.133 0.133
0.276 0.276 0.276
0.724 0.724 0.724
0.867 0.867 0.867
0.401 0.401 0.401
0.599 0.599 0.599
0.000 0.000 0.000
0.500 0.500 0.500
0.178 0.599 0.599
0.189 0.189 0.732
0.189 0.732 0.189
0.268 0.811 0.811
0.401 0.401 0.822
0.401 0.822 0.401
0.599 0.178 0.599
0.599 0.599 0.178
0.732 0.189 0.189
0.811 0.268 0.811
0.811 0.811 0.268
0.822 0.401 0.401

# 19
Rb4Tb3CeO8 | the Alexandria database | GGA-PBE | relaxed; E = -6.601 eV per atom; uncorrected formation energy = -2641 meV per atom; mass density = 6212 kg/m3
1.0
3.571 2.061 6.578
-3.571 2.061 6.578
0.000 -4.123 6.578
Rb Tb Ce O
4 3 1 8
direct
0.000 0.000 0.000
0.000 0.500 0.500
0.500 0.000 0.500
0.500 0.500 0.000
0.000 0.000 0.500
0.000 0.500 0.000
0.500 0.000 0.000
0.500 0.500 0.500
0.219 0.728 0.728
0.225 0.225 0.225
0.272 0.272 0.781
0.272 0.781 0.272
0.728 0.219 0.728
0.728 0.728 0.219
0.775 0.775 0.775
0.781 0.272 0.272

The calculation returns the following calculated volume values, one per record and in order: 290.77, 137.10, 248.07, 166.92, 246.85, 202.66, 148.56, 151.61, 226.12, 216.82, 222.54, 239.32, 164.73, 235.33, 293.36, 226.10, 315.91, 177.87, 290.51 Å³/f.u..